Entry 1:
First-principles (PBE) data for a relaxed MgTc3Ir crystal, as listed in the Alexandria database.

Cell: 4.725 4.725 4.725 Å, 90.00 90.00 90.00°
Space group Pm-3m (No. 221)
Symmetry-distinct sites (fractional):
Mg  0.000  0.000  0.000
Tc  0.000  0.500  0.500
Ir  0.500  0.500  0.500

## Properties
Formation energy from the elements: 1.482 eV/atom
Polymorph energy (0 for the lowest one): 0.00 eV per formula unit
Energy: -6.829 eV per atom
V: 21.09 Å³ per atom



Entry 2:
First-principles (PBE) data for a relaxed LiAgRu2 crystal, as listed in the Alexandria database.

Cell: 6.137 6.137 6.137 Å, 90.00 90.00 90.00°
Space group Fm-3m (No. 225)
Symmetry-distinct sites (fractional):
Li  0.000  0.000  0.000
Ag  0.000  0.000  0.500
Ru  0.250  0.250  0.250

## Properties
Formation energy from the elements: 0.742 eV/atom
Polymorph energy (0 for the lowest one): 2.27 eV per formula unit
Energy: -5.087 eV per atom
V: 14.44 Å³ per atom



Entry 3:
First-principles (PBE) data for a relaxed Tl2H6Se crystal, as listed in the Alexandria database.

Cell: 4.997 5.264 6.903 Å, 68.54 88.53 80.79°
Space group P-1 (No. 2)
Symmetry-distinct sites (fractional):
Tl  0.015  0.349  0.286
H  0.242  0.297  0.996
H  0.474  0.804  0.297
H  0.479  0.793  0.409
Se  0.500  0.500  0.000

## Properties
Energy: -3.028 eV per atom
V: 18.52 Å³ per atom



Entry 4:
First-principles (PBE) data for a relaxed LaSm6Ho4 crystal, as listed in the Alexandria database.

Cell: 7.657 7.657 13.338 Å, 90.00 90.00 90.00°
Space group I-42m (No. 121)
Symmetry-distinct sites (fractional):
La  0.000  0.000  0.000
Sm  0.000  0.500  0.000
Sm  0.238  0.238  0.188
Ho  0.162  0.162  0.422

## Properties
Formation energy from the elements: 0.379 eV/atom
Energy: -4.308 eV per atom
V: 35.55 Å³ per atom



Entry 5:
First-principles (PBE) data for a relaxed Mg5AgPd2 crystal, as listed in the Alexandria database.

Cell: 5.730 11.253 4.458 Å, 90.00 90.00 90.00°
Space group Pbam (No. 55)
Symmetry-distinct sites (fractional):
Mg  0.000  0.000  0.000
Mg  0.101  0.262  0.000
Mg  0.187  0.612  0.500
Ag  0.000  0.500  0.000
Pd  0.172  0.864  0.500

## Properties
Formation energy from the elements: -0.429 eV/atom
Energy: -3.080 eV per atom
V: 17.97 Å³ per atom



Entry 6:
First-principles (PBE) data for a relaxed Al2CoPb crystal, as listed in the Alexandria database.

Cell: 2.894 4.047 12.826 Å, 90.00 90.00 90.00°
Space group Imm2 (No. 44)
Symmetry-distinct sites (fractional):
Al  0.000  0.000  0.000
Al  0.000  0.500  0.154
Co  0.000  0.000  0.505
Pb  0.000  0.500  0.807

## Properties
Formation energy from the elements: -0.006 eV/atom
Energy: -4.580 eV per atom
V: 18.78 Å³ per atom



Entry 7:
First-principles (PBE) data for a relaxed Nb2Os3Rh2 crystal, as listed in the Alexandria database.

Cell: 7.728 7.728 7.728 Å, 90.00 90.00 90.00°
Space group I2_13 (No. 199)
Symmetry-distinct sites (fractional):
Nb  0.014  0.014  0.014
Os  0.000  0.250  0.268
Rh  0.171  0.329  0.671

## Properties
Formation energy from the elements: 0.188 eV/atom
Energy: -9.603 eV per atom
V: 16.48 Å³ per atom



Entry 8:
First-principles (PBE) data for a relaxed RbHoPuBr6 crystal, as listed in the Alexandria database.

Cell: 7.5160 7.5160 15.2395 Å, 90.00 90.00 120.00°
Space group P-31c (No. 163)
Symmetry-distinct sites (fractional):
Rb  0.0000  0.0000  0.0000
Ho  0.3333  0.6667  0.2500
Pu  0.3333  0.6667  0.7500
Br  0.0183  0.3775  0.1414

## Properties
Formation energy without anion corrections: -1714 meV/atom
Energy: -5.037 eV per atom
V: 41.42 Å³ per atom